3
Lattice="3.614 0.000 0.000 -1.807 3.129 0.000 0.000 0.000 7.364" Properties=species:S:1:pos:R:3 comment="TiBiTe, relaxed, DFT PBE" raw_formation_energy_kj_per_mol_fu=-104.9 pbc="T T T"
Te 0.000 2.086 4.346
Ti 1.807 1.043 2.603
Bi 0.000 0.000 0.415


12
Lattice="3.705 0.000 0.000 0.000 7.620 0.000 0.000 0.000 10.784" Properties=species:S:1:pos:R:3 comment="TiBiTe, relaxed, DFT PBE" raw_formation_energy_kj_per_mol_fu=-84.9 pbc="T T T"
Ti 1.852 3.395 7.414
Ti 3.704 0.415 3.371
Ti 1.853 7.204 8.763
Ti 0.000 4.225 2.022
Te 1.853 5.806 3.469
Te 3.704 1.814 8.861
Te 1.852 1.996 1.924
Te 0.000 5.624 7.316
Bi 1.853 4.470 10.425
Bi 3.704 3.149 5.033
Bi 1.852 0.660 5.751
Bi 0.001 6.959 0.359


3
Lattice="3.425 0.000 0.000 0.000 3.425 0.000 -1.712 -1.712 7.003" Properties=species:S:1:pos:R:3 comment="TiBiTe, relaxed, DFT PBE" raw_formation_energy_kj_per_mol_fu=-84.9 pbc="T T T"
Te 0.000 0.000 4.009
Bi 0.000 0.000 0.438
Ti 1.712 1.712 2.556